The following is a PBE-GGA calculation of crystalline Na2TaRh at its relaxed geometry, from Alexandria.

Cell: 6.660 6.660 6.660 Å, 90.00 90.00 90.00°
Space group Fm-3m (No. 225)
One atom of each set of equivalent atoms:
Na: 0.250 0.250 0.250 x8
Ta: 0.000 0.000 0.000 x4
Rh: 0.000 0.000 0.500 x4

Properties
For the magnetization, the calculation gives 0.00 μB/cell. The calculation puts the formation energy at 1.327 eV/atom.